[1]
## Tl2PdBr6 (PBE-GGA)

Data for a relaxed structure of Tl2PdBr6.

a = 7.3844 Å, b = 7.3844 Å, c = 7.3844 Å
α = 60.00°, β = 60.00°, γ = 60.00°
Sites, in units of the cell vectors:
Tl  0.2500  0.2500  0.2500
Tl  0.7500  0.7500  0.7500
Pd  0.0000  0.0000  0.0000
Br  0.2397  0.7603  0.7603
Br  0.2397  0.7603  0.2397
Br  0.7603  0.2397  0.7603
Br  0.7603  0.2397  0.2397
Br  0.7603  0.7603  0.2397
Br  0.2397  0.2397  0.7603

Properties
formation energy (no corrections): -0.526 eV/atom
raw total energy: -24.69 eV for the cell shown
offset from the most stable computed form: 0.0 meV per atom
total magnetic moment: 0.00 μB per formula unit

[2]
## BeZn2Si (PBE-GGA)

Data for a relaxed structure of BeZn2Si.

a = 4.1480 Å, b = 4.1480 Å, c = 5.0449 Å
α = 78.28°, β = 78.28°, γ = 40.68°
Sites, in units of the cell vectors:
Be  0.5032  0.5032  0.4964
Zn  0.9981  0.9981  0.9963
Zn  0.7573  0.7573  0.7233
Si  0.2414  0.2414  0.2840

Properties
formation energy (no corrections): 0.268 eV/atom
raw total energy: -10.62 eV for the cell shown
total magnetic moment: 0.00 μB per formula unit

[3]
## Ca2SeBr (PBE-GGA)

Data for a relaxed structure of Ca2SeBr.

a = 5.6287 Å, b = 5.6287 Å, c = 5.6287 Å
α = 135.20°, β = 109.16°, γ = 87.83°
Sites, in units of the cell vectors:
Ca  0.9908  0.9908  0.0000
Ca  0.5092  0.5092  0.0000
Se  0.7500  0.2500  0.5000
Br  0.2500  0.7500  0.5000

Properties
formation energy (no corrections): -1.412 eV/atom
raw total energy: -14.81 eV for the cell shown
offset from the most stable computed form: 235.8 meV per atom
total magnetic moment: 0.00 μB per formula unit

[4]
## Ti2AlW (PBE-GGA)

Data for a relaxed structure of Ti2AlW.

a = 7.2201 Å, b = 7.2201 Å, c = 5.7549 Å
α = 51.15°, β = 51.15°, γ = 90.00°
Sites, in units of the cell vectors:
Al  0.5000  0.5000  0.0000
Al  0.2500  0.7500  0.5000
W  0.0000  0.0000  0.0000
W  0.7500  0.2500  0.5000
Ti  0.6358  0.1250  0.2500
Ti  0.1142  0.6250  0.2500
Ti  0.3750  0.3642  0.7500
Ti  0.8750  0.8858  0.7500

Properties
raw total energy: -61.56 eV for the cell shown
total magnetic moment: 0.00 μB per formula unit
formation energy from the elements: 426 meV per atom

[5]
## Ce3CSe2 (PBE-GGA)

Data for a relaxed structure of Ce3CSe2.

a = 6.9114 Å, b = 6.9076 Å, c = 7.1302 Å
α = 80.63°, β = 71.01°, γ = 59.98°
Sites, in units of the cell vectors:
Ce  0.4329  0.6389  0.7829
Ce  0.2901  0.0000  0.2119
Ce  0.5671  0.3611  0.2171
Ce  0.9282  0.6389  0.2171
Ce  0.0718  0.3611  0.7829
Ce  0.7099  0.0000  0.7881
C  0.6682  0.6636  0.0000
C  0.3318  0.3364  0.0000
Se  0.0000  0.0000  0.0000
Se  0.5000  0.0000  0.5000
Se  0.1568  0.6863  0.5000
Se  0.8432  0.3137  0.5000

Properties
formation energy (no corrections): -1.258 eV/atom
raw total energy: -83.09 eV for the cell shown
offset from the most stable computed form: 0.0 meV per atom
total magnetic moment: 1.99 μB per formula unit

[6]
## BaCoTe (PBE-GGA)

Data for a relaxed structure of BaCoTe.

a = 4.4236 Å, b = 4.4236 Å, c = 4.9361 Å
α = 90.00°, β = 90.00°, γ = 120.00°
Sites, in units of the cell vectors:
Ba  0.0000  0.0000  0.0000
Co  0.6667  0.3333  0.5000
Te  0.3333  0.6667  0.5000

Properties
formation energy (no corrections): -0.555 eV/atom
raw total energy: -13.83 eV for the cell shown
offset from the most stable computed form: 0.0 meV per atom
total magnetic moment: 0.77 μB per formula unit

[7]
## PmY3In (PBE-GGA)

Data for a relaxed structure of PmY3In.

a = 5.2823 Å, b = 6.7038 Å, c = 9.8740 Å
α = 89.08°, β = 90.00°, γ = 113.20°
Sites, in units of the cell vectors:
Pm  0.3977  0.7955  0.6138
Pm  0.6023  0.2045  0.3862
Y  0.0937  0.1873  0.1478
Y  0.9063  0.8127  0.8522
Y  0.6016  0.2031  0.8508
Y  0.3984  0.7969  0.1492
Y  0.8834  0.7668  0.3911
Y  0.1166  0.2332  0.6089
In  0.2499  0.4999  0.8837
In  0.7501  0.5001  0.1163

Properties
raw total energy: -54.34 eV for the cell shown
offset from the most stable computed form: 124.8 meV per atom
total magnetic moment: 0.00 μB per formula unit
formation energy from the elements: -58 meV per atom

[8]
## MnCr2W (PBE-GGA)

Data for a relaxed structure of MnCr2W.

a = 4.8599 Å, b = 4.8599 Å, c = 4.8599 Å
α = 137.52°, β = 137.52°, γ = 61.64°
Sites, in units of the cell vectors:
Cr  0.0000  0.0000  0.0000
Cr  0.5000  0.5000  0.0000
Mn  0.2500  0.7500  0.5000
W  0.7500  0.2500  0.5000

Properties
raw total energy: -40.17 eV for the cell shown
offset from the most stable computed form: 220.3 meV per atom
total magnetic moment: 1.60 μB per formula unit
formation energy from the elements: 300 meV per atom

[9]
## V2CuPt9 (PBE-GGA)

Data for a relaxed structure of V2CuPt9.

a = 3.9177 Å, b = 3.9177 Å, c = 11.7145 Å
α = 90.00°, β = 90.00°, γ = 90.00°
Sites, in units of the cell vectors:
V  0.0000  0.0000  0.3251
V  0.0000  0.0000  0.6749
Cu  0.0000  0.0000  0.0000
Pt  0.5000  0.5000  0.0000
Pt  0.5000  0.5000  0.3349
Pt  0.5000  0.5000  0.6651
Pt  0.5000  0.0000  0.1700
Pt  0.5000  0.0000  0.5000
Pt  0.5000  0.0000  0.8300
Pt  0.0000  0.5000  0.1700
Pt  0.0000  0.5000  0.5000
Pt  0.0000  0.5000  0.8300

Properties
raw total energy: -81.26 eV for the cell shown
total magnetic moment: 0.85 μB per formula unit
formation energy from the elements: -380 meV per atom

[10]
## LaMnVTe2 (PBE-GGA)

Data for a relaxed structure of LaMnVTe2.

a = 5.2989 Å, b = 5.2989 Å, c = 4.3109 Å
α = 90.00°, β = 90.00°, γ = 90.00°
Sites, in units of the cell vectors:
V  0.0000  0.0000  0.5000
Te  0.0000  0.5000  0.0000
Te  0.5000  0.0000  0.0000
Mn  0.0000  0.0000  0.0000
La  0.5000  0.5000  0.5000

Properties
formation energy (no corrections): -0.100 eV/atom
raw total energy: -30.00 eV for the cell shown
total magnetic moment: 3.64 μB per formula unit

[11]
## KPa2SO8 (PBE-GGA)

Data for a relaxed structure of KPa2SO8.

a = 5.0744 Å, b = 5.0744 Å, c = 8.2635 Å
α = 90.00°, β = 90.00°, γ = 120.00°
Sites, in units of the cell vectors:
K  0.0000  0.0000  0.5000
Pa  0.6667  0.3333  0.1404
Pa  0.3333  0.6667  0.8596
S  0.0000  0.0000  0.0000
O  0.8422  0.6845  0.8846
O  0.3155  0.1578  0.8846
O  0.8422  0.1578  0.8846
O  0.1578  0.3155  0.1154
O  0.6845  0.8422  0.1154
O  0.1578  0.8422  0.1154
O  0.6667  0.3333  0.3702
O  0.3333  0.6667  0.6298

Properties
formation energy (no corrections): -2.322 eV/atom
raw total energy: -91.74 eV for the cell shown
total magnetic moment: 1.00 μB per formula unit

[12]
## Pm6Pr5Sc (PBE-GGA)

Data for a relaxed structure of Pm6Pr5Sc.

a = 6.3148 Å, b = 6.3123 Å, c = 12.1176 Å
α = 84.99°, β = 79.95°, γ = 59.99°
Sites, in units of the cell vectors:
Pr  0.1664  0.6672  0.5000
Pr  0.3332  0.3336  0.0000
Pr  0.5000  0.0000  0.5000
Pr  0.6668  0.6664  0.0000
Pr  0.8336  0.3328  0.5000
Sc  0.0000  0.0000  0.0000
Pm  0.5893  0.3288  0.2462
Pm  0.0819  0.3288  0.7538
Pm  0.7526  0.0000  0.7534
Pm  0.2474  0.0000  0.2466
Pm  0.9181  0.6712  0.2462
Pm  0.4107  0.6712  0.7538

Properties
raw total energy: -58.41 eV for the cell shown
total magnetic moment: 0.00 μB per formula unit
formation energy from the elements: 27 meV per atom

Question: Number 10 is which compound?
Answer: LaMnVTe2

Question: Which value of raw total energy does entry 9 give?
Answer: -81.26 eV for the cell shown

Repeat the third record exactly.
## Ca2SeBr (PBE-GGA)

Data for a relaxed structure of Ca2SeBr.

a = 5.6287 Å, b = 5.6287 Å, c = 5.6287 Å
α = 135.20°, β = 109.16°, γ = 87.83°
Sites, in units of the cell vectors:
Ca  0.9908  0.9908  0.0000
Ca  0.5092  0.5092  0.0000
Se  0.7500  0.2500  0.5000
Br  0.2500  0.7500  0.5000

Properties
formation energy (no corrections): -1.412 eV/atom
raw total energy: -14.81 eV for the cell shown
offset from the most stable computed form: 235.8 meV per atom
total magnetic moment: 0.00 μB per formula unit

Question: raw total energy of number 2 (BeZn2Si)?
Answer: -10.62 eV for the cell shown